1.
This record from Alexandria via LeMat-Bulk describes an optimized crystal structure of ZrAg2. The functional is PBE-GGA.

Values from the calculation:
Crystal system: monoclinic
SG: C2/m (12)
ΔH_f (0 K), meV per atom: 0

abc: 6.183 6.183 11.874
angles: 145.88 145.88 30.50
Sites, in units of the cell vectors:
1 Ag 0.314 0.314 0.618
2 Ag 0.131 0.131 0.771
3 Ag 0.953 0.953 0.933
4 Zr 0.796 0.796 0.104
5 Zr 0.648 0.648 0.285
6 Ag 0.491 0.491 0.456

2.
This record from Alexandria via LeMat-Bulk describes an optimized crystal structure of Zr2Ag3. The functional is PBE-GGA.

Values from the calculation:
Crystal system: orthorhombic
SG: Fdd2 (43)
ΔH_f (0 K), meV per atom: 111

abc: 8.730 7.779 5.653
angles: 79.34 61.13 39.52
Sites, in units of the cell vectors:
1 Zr 0.387 0.002 0.730
2 Zr 0.248 0.863 0.369
3 Ag 0.254 0.246 0.246
4 Zr 0.520 0.369 0.863
5 Ag 0.809 0.464 0.808
6 Zr 0.881 0.730 0.002
7 Ag 0.919 0.808 0.464
8 Ag 0.786 0.441 0.331
9 Ag 0.004 0.996 0.996
10 Ag 0.442 0.331 0.441

3.
This record from Alexandria via LeMat-Bulk describes an optimized crystal structure of ZrAg2. The functional is PBE-GGA.

Values from the calculation:
Crystal system: cubic
SG: Fm-3m (225)
ΔH_f (0 K), meV per atom: 497

abc: 4.640 4.640 4.640
angles: 60.00 60.00 60.00
Sites, in units of the cell vectors:
1 Ag 0.250 0.250 0.250
2 Zr 0.000 0.000 0.000
3 Ag 0.750 0.750 0.750

- Which value of ΔH_f (0 K) does entry 3 give?
  497 meV per atom

- What is the ΔH_f (0 K) in the third record?
  497 meV per atom

- Among the records above, which one has the lowest ΔH_f (0 K)?
  number 1

- Which of these has the highest ΔH_f (0 K)?
  number 3